Density functional theory data (GGA-PBE) for an optimized crystal structure of Cu2AgAs.

Unit cell a=4.4534 b=4.4534 c=5.0544 alpha=79.91 beta=79.91 gamma=38.86
Element x y z (fractional)
Cu (0.0048, 0.0048, 0.9744)
Cu (0.4952, 0.4952, 0.5256)
As (0.7500, 0.7500, 0.7500)
Ag (0.2500, 0.2500, 0.2500)

Results
Total DFT energy (no corrections) in eV per atom: -3.76
Energy of formation from the pure elements in eV per atom: 0.165
Total moment in μB/cell: 0.000